[1]
First-principles (meta-GGA SCAN) data for Tl2AgSb at its PBEsol-relaxed geometry, as listed in Alexandria via LeMat-Bulk. Values from VASP.

Geometry as Quantum ESPRESSO input:
```
&SYSTEM
  ibrav = 0, nat = 4, ntyp = 3
/
ATOMIC_SPECIES
Tl 204.38 Tl.upf
Ag 107.87 Ag.upf
Sb 121.76 Sb.upf
CELL_PARAMETERS angstrom
3.1678 0.0000 0.0000
0.0000 4.0408 0.0000
0.0000 0.0000 7.9043
ATOMIC_POSITIONS crystal
Tl 0.0000 0.0000 0.0000
Tl 0.5000 0.5000 0.2943
Ag 0.0000 0.0000 0.5291
Sb 0.5000 0.5000 0.7148
```

## Properties
polymorph energy (0 for the lowest one): 1.08 kJ per mole of atoms
magnetization: 0.00 μB per atom
SG: Pmm2, No. 25
E_form (uncorrected): 84 meV per atom
density of states at the Fermi level: 0.3747 states/eV/atom
mass density: 10477 kg/m³

=====

[2]
First-principles (meta-GGA SCAN) data for BeNi6Ru at its PBEsol-relaxed geometry, as listed in Alexandria via LeMat-Bulk. Values from VASP.

Geometry as Quantum ESPRESSO input:
```
&SYSTEM
  ibrav = 0, nat = 32, ntyp = 3
/
ATOMIC_SPECIES
Be 9.01 Be.upf
Ni 58.69 Ni.upf
Ru 101.07 Ru.upf
CELL_PARAMETERS angstrom
3.4550 -4.9233 0.0000
3.4550 4.9233 0.0000
0.0000 0.0000 9.8509
ATOMIC_POSITIONS crystal
Be 0.0000 0.0000 0.2414
Be 0.0000 0.0000 0.7586
Be 0.2559 0.7441 0.0000
Be 0.7441 0.2559 0.0000
Ni 0.0000 0.0000 0.0000
Ni 0.0000 0.0000 0.5000
Ni 0.1185 0.3705 0.1211
Ni 0.1185 0.3705 0.8789
Ni 0.1200 0.3668 0.3694
Ni 0.1200 0.3668 0.6306
Ni 0.2487 0.7513 0.2440
Ni 0.2487 0.7513 0.7560
Ni 0.3668 0.1200 0.3694
Ni 0.3668 0.1200 0.6306
Ni 0.3705 0.1185 0.1211
Ni 0.3705 0.1185 0.8789
Ni 0.5000 0.5000 0.0000
Ni 0.5000 0.5000 0.5000
Ni 0.6295 0.8815 0.1211
Ni 0.6295 0.8815 0.8789
Ni 0.6332 0.8800 0.3694
Ni 0.6332 0.8800 0.6306
Ni 0.7513 0.2487 0.2440
Ni 0.7513 0.2487 0.7560
Ni 0.8800 0.6332 0.3694
Ni 0.8800 0.6332 0.6306
Ni 0.8815 0.6295 0.1211
Ni 0.8815 0.6295 0.8789
Ru 0.2527 0.7473 0.5000
Ru 0.5000 0.5000 0.2448
Ru 0.5000 0.5000 0.7552
Ru 0.7473 0.2527 0.5000
```

## Properties
magnetization: 0.69 μB per atom
SG: Cmmm, No. 65
density of states at the Fermi level: 0.5414 states/eV/atom
calculated formation energy: -0.4 eV/f.u.
mass density: 9162 kg/m³

=====

[3]
First-principles (meta-GGA SCAN) data for AlOs2Br at its PBEsol-relaxed geometry, as listed in Alexandria via LeMat-Bulk. Values from VASP.

Geometry as Quantum ESPRESSO input:
```
&SYSTEM
  ibrav = 0, nat = 4, ntyp = 3
/
ATOMIC_SPECIES
Al 26.98 Al.upf
Os 190.23 Os.upf
Br 79.90 Br.upf
CELL_PARAMETERS angstrom
0.0000 3.1461 3.1461
3.1461 0.0000 3.1461
3.1461 3.1461 0.0000
ATOMIC_POSITIONS crystal
Al 0.0000 0.0000 0.0000
Os 0.5000 0.5000 0.5000
Os 0.7500 0.7500 0.7500
Br 0.2500 0.2500 0.2500
```

## Properties
polymorph energy (0 for the lowest one): 71.91 kJ per mole of atoms
magnetization: 0.00 μB per atom
SG: F-43m, No. 216
E_form (uncorrected): 1233 meV per atom
density of states at the Fermi level: 1.2838 states/eV/atom
mass density: 12994 kg/m³